# 1
Material: CaTaN2
Method: DFT, PBE-GGA
State: optimized geometry

```
8
Lattice="-2.562 2.562 4.889 2.562 -2.562 4.889 2.562 2.562 -4.889" Properties=species:S:1:pos:R:3 pbc="T T T"
Ca 0.000 0.000 0.000
Ca 0.000 2.562 2.444
Ta 2.562 0.000 2.444
Ta 0.000 0.000 4.889
N 1.281 -0.928 3.666
N 1.634 1.281 1.222
N 1.281 3.491 -1.222
N 0.928 1.281 6.111
```

Calculated values
Crystal system = tetragonal


# 2
Material: CaTaN
Method: DFT, PBE-GGA
State: optimized geometry

```
6
Lattice="-1.828 1.828 8.791 1.828 -1.828 8.791 1.828 1.828 -8.791" Properties=species:S:1:pos:R:3 pbc="T T T"
Ca 0.000 0.000 2.784
Ca 0.000 0.000 14.798
Ta 1.828 0.000 0.000
Ta 0.000 1.828 0.000
N 0.000 0.000 7.391
N 0.000 0.000 10.192
```

Calculated values
Crystal system = tetragonal


# 3
Material: Ca3TaN
Method: DFT, PBE-GGA
State: optimized geometry

```
5
Lattice="5.611 0.000 0.000 0.000 5.611 0.000 0.000 0.000 5.611" Properties=species:S:1:pos:R:3 pbc="T T T"
Ca 0.000 0.000 2.805
Ca 0.000 2.805 0.000
Ca 2.805 0.000 0.000
Ta 0.000 0.000 0.000
N 2.805 2.805 2.805
```

Calculated values
Crystal system = cubic


# 4
Material: CaTaN2
Method: DFT, PBE-GGA
State: optimized geometry

```
8
Lattice="-2.078 2.789 5.164 2.078 -2.789 5.164 2.078 2.789 -5.164" Properties=species:S:1:pos:R:3 pbc="T T T"
Ca 0.000 1.395 0.924
Ca 2.078 1.395 4.239
Ta 2.078 1.395 -1.429
Ta 0.000 1.395 6.593
N 2.078 0.000 0.000
N 2.078 -1.395 3.554
N 0.000 0.000 5.164
N 0.000 4.184 1.609
```

Calculated values
Crystal system = orthorhombic


# 5
Material: Ca3TaN4
Method: DFT, PBE-GGA
State: optimized geometry

```
32
Lattice="7.008 0.000 0.000 0.000 9.516 0.000 0.000 0.000 7.007" Properties=species:S:1:pos:R:3 pbc="T T T"
Ca 7.008 9.515 1.748
Ca 0.000 0.001 5.259
Ca 7.008 4.759 1.748
Ca 0.000 4.757 5.259
Ca 1.687 2.379 7.004
Ca 1.817 7.137 3.501
Ca 3.504 9.515 1.755
Ca 3.505 0.001 5.252
Ca 3.504 4.759 1.755
Ca 3.505 4.757 5.252
Ca 5.191 2.379 3.506
Ca 5.321 7.137 0.002
Ta 1.425 2.379 3.496
Ta 2.079 7.137 7.000
Ta 4.929 2.379 0.007
Ta 5.583 7.137 3.510
N 0.181 2.379 2.004
N 0.188 2.379 4.994
N 1.665 5.114 7.005
N 1.665 9.161 7.005
N 1.839 0.355 3.501
N 1.839 4.403 3.501
N 3.316 7.137 1.491
N 3.323 7.137 5.508
N 3.685 2.379 1.499
N 3.692 2.379 5.516
N 5.170 5.114 3.505
N 5.170 9.161 3.505
N 5.343 0.355 0.002
N 5.343 4.403 0.002
N 6.820 7.137 2.012
N 6.828 7.137 5.002
```

Calculated values
Crystal system = orthorhombic


# 6
Material: CaTaN2
Method: DFT, PBE-GGA
State: optimized geometry

```
4
Lattice="0.000 2.824 2.824 2.824 0.000 2.824 2.824 2.824 0.000" Properties=species:S:1:pos:R:3 pbc="T T T"
Ca 0.000 0.000 0.000
Ta 2.824 2.824 2.824
N 1.412 1.412 1.412
N 4.236 4.236 4.236
```

Calculated values
Crystal system = cubic


# 7
Material: CaTaN3
Method: DFT, PBE-GGA
State: optimized geometry

```
5
Lattice="4.067 0.000 0.000 0.000 4.067 0.000 0.000 0.000 4.067" Properties=species:S:1:pos:R:3 pbc="T T T"
Ca 0.000 0.000 0.000
Ta 2.034 2.034 2.034
N 0.000 2.034 2.034
N 2.034 0.000 2.034
N 2.034 2.034 0.000
```

Calculated values
Crystal system = cubic


# 8
Material: CaTb2TaN4
Method: DFT, PBE-GGA
State: optimized geometry

```
16
Lattice="1.711 -6.001 0.000 1.711 6.001 0.000 0.000 0.000 12.261" Properties=species:S:1:pos:R:3 pbc="T T T"
Ca 1.711 4.705 9.195
Ca 1.711 -4.705 3.065
Tb 1.711 1.555 6.516
Tb 1.711 1.555 11.875
Tb 1.711 -1.555 0.386
Tb 1.711 -1.555 5.745
Ta 1.711 4.091 3.065
Ta 1.711 -4.091 9.195
N 0.000 0.000 0.000
N 0.000 0.000 6.130
N 1.711 2.908 1.527
N 1.711 2.908 4.603
N 1.711 0.782 9.195
N 1.711 -0.782 3.065
N 1.711 -2.908 7.657
N 1.711 -2.908 10.733
```

Calculated values
Crystal system = orthorhombic


# 9
Material: Ca3Ta3TcN8
Method: DFT, PBE-GGA
State: optimized geometry

```
15
Lattice="3.134 1.809 5.601 -3.134 1.809 5.601 0.000 -3.619 5.601" Properties=species:S:1:pos:R:3 pbc="T T T"
Ca -1.567 -0.905 5.601
Ca -1.567 0.905 11.202
Ca 0.000 1.809 5.601
Ta -3.134 0.000 8.401
Ta -1.567 0.905 2.800
Ta 1.567 0.905 2.800
Tc 0.000 0.000 8.401
N -1.597 -0.922 9.535
N 0.000 0.000 4.003
N 0.000 -1.844 7.267
N -1.597 0.922 7.267
N 1.597 -0.922 9.535
N 0.000 1.844 9.535
N 0.000 0.000 12.800
N 1.597 0.922 7.267
```

Calculated values
Crystal system = trigonal


# 10
Material: Ca2TaTcN5
Method: DFT, PBE-GGA
State: optimized geometry

```
18
Lattice="1.632 -6.661 0.000 1.632 6.661 0.000 0.000 0.000 10.732" Properties=species:S:1:pos:R:3 pbc="T T T"
Ca 1.632 5.264 5.366
Ca 1.632 4.596 1.390
Ca 1.632 -4.596 6.756
Ca 1.632 -5.264 0.000
Ta 1.632 3.718 9.101
Ta 1.632 -3.718 3.735
Tc 1.632 0.362 2.843
Tc 1.632 -0.362 8.209
N 1.632 6.083 9.174
N 1.632 2.899 5.080
N 1.632 2.377 2.382
N 1.632 1.813 8.812
N 1.632 0.133 6.516
N 1.632 -0.133 1.150
N 1.632 -1.813 3.446
N 1.632 -2.377 7.748
N 1.632 -2.899 10.445
N 1.632 -6.083 3.808
```

Calculated values
Crystal system = orthorhombic


# 11
Material: CaTaTe2N
Method: DFT, PBE-GGA
State: optimized geometry

```
5
Lattice="5.635 0.000 0.000 0.000 5.635 0.000 0.000 0.000 3.956" Properties=species:S:1:pos:R:3 pbc="T T T"
Ca 0.000 0.000 0.000
Ta 2.817 2.817 1.978
Te 0.000 2.817 1.978
Te 2.817 0.000 1.978
N 2.817 2.817 0.000
```

Calculated values
Crystal system = tetragonal


# 12
Material: CaTaTe2N
Method: DFT, PBE-GGA
State: optimized geometry

```
5
Lattice="5.651 0.000 0.000 0.000 5.651 0.000 0.000 0.000 3.925" Properties=species:S:1:pos:R:3 pbc="T T T"
Ca 0.000 0.000 0.000
Ta 2.826 2.826 1.963
Te 0.000 2.826 0.000
Te 2.826 0.000 0.000
N 0.000 0.000 1.963
```

Calculated values
Crystal system = tetragonal


Here are the calculated total magnetization numbers, same order: 0.0 0.0 3.3 0.0 0.9 0.7 0.0 0.0 2.2 0.0 0.0 0.0 (μB/f.u.).
Here are the calculated raw formation energy numbers, same order: -4.189 -0.559 9.819 -4.547 -8.035 0.139 -2.731 -9.968 -14.690 -6.580 -2.717 6.548 (eV per formula unit).
Here are the calculated DOS at the Fermi energy numbers, same order: 0.517 0.552 2.017 0.243 0.757 0.527 0.840 0.380 0.216 0.341 0.225 1.139 (states/eV per atom).